V2NiRh3 | PBE-GGA | optimized geometry

Cell lengths 3.8512, 11.5442, 3.6032 Å; angles 90.00, 90.00, 90.00 degrees
Closest atoms and distances in Å follow each position.
Space group Cmmm (No. 65)
Symmetry-distinct sites (fractional):
V 0.0000 0.1610 0.0000 x4  8 Rh 2.59-2.68, 2 Ni 2.68, 2 V 2.82
Ni 0.0000 0.5000 0.0000 x2  8 Rh 2.64, 4 V 2.68
Rh 0.0000 0.0000 0.5000 x2  4 V 2.59, 4 Ni 2.64, 4 Rh 2.72
Rh 0.0000 0.3332 0.5000 x4  2 Ni 2.64, 6 V 2.64-2.68, 4 Rh 2.72

Summary:
DFT total energy ... -8.025 eV/atom
Calculated formation energy ... -346 meV/atom



Er3HgPd5 | PBE-GGA | optimized geometry

Cell lengths 8.4010, 8.4010, 5.7890 Å; angles 90.00, 90.00, 120.00 degrees
Closest atoms and distances in Å follow each position.
Space group P6_3/mcm (No. 193)
Symmetry-distinct sites (fractional):
Er 0.0000 0.3571 0.2500 x6  5 Pd 2.73-2.91
Hg 0.0000 0.0000 0.0000 x2  2 Hg 2.89, 6 Pd 3.04
Pd 0.0000 0.3177 0.7500 x6  5 Er 2.73-2.91, 2 Hg 3.04
Pd 0.3333 0.6667 0.0000 x4  8 Pd 2.89-3.21, 6 Er 3.07

Summary:
DFT total energy ... -5.255 eV/atom
Calculated formation energy ... -816 meV/atom



Er4Ge2I5 | PBE-GGA | optimized geometry

Cell lengths 4.1867, 8.3691, 20.2390 Å; angles 90.00, 90.00, 90.00 degrees
Closest atoms and distances in Å follow each position.
Space group Immm (No. 71)
Symmetry-distinct sites (fractional):
Er 0.0000 0.0000 0.1898 x4  1 Ge 2.65
Er 0.0000 0.2967 0.5000 x4  4 Ge 2.95, 2 I 3.25
Ge 0.0000 0.0000 0.0589 x4  1 Ge 2.38, 1 Er 2.65
I 0.0000 0.2271 0.3292 x8  3 Er 3.12-3.40
I 0.0000 0.5000 0.0000 x2  4 Er 3.25

Summary:
DFT total energy ... -4.070 eV/atom
Energy relative to the elements, uncorrected ... -9.5 eV per formula unit



Sm5Dy12Th2 | PBE-GGA | optimized geometry

Cell lengths 6.1923, 9.4405, 11.2850 Å; angles 89.95, 79.34, 71.02 degrees
Closest atoms and distances in Å follow each position.
Space group P-1 (No. 2)
Symmetry-distinct sites (fractional):
Sm 0.0000 0.0000 0.0000 x1  10 Dy 3.56-3.58, 2 Sm 3.57
Sm 0.2578 0.1634 0.4750 x2  2 Th 3.52-3.54, 9 Dy 3.52-3.64, 1 Sm 3.67
Sm 0.4739 0.6845 0.0517 x2  10 Dy 3.56-3.60, 2 Sm 3.57
Dy 0.0524 0.6323 0.8923 x2  7 Dy 3.52-3.61, 1 Th 3.57, 4 Sm 3.57-3.60
Dy 0.1048 0.2651 0.7895 x2  4 Sm 3.55-3.58, 7 Dy 3.55-3.61, 1 Th 3.57
Dy 0.1577 0.8917 0.6850 x2  7 Dy 3.52-3.63, 1 Th 3.56, 4 Sm 3.56-3.61
Dy 0.3183 0.7854 0.3697 x2  2 Th 3.52-3.53, 6 Dy 3.52-3.63, 4 Sm 3.55-3.64
Dy 0.3665 0.4220 0.2674 x2  3 Th 3.49-3.57, 3 Sm 3.52-3.60, 6 Dy 3.52-3.60
Dy 0.4219 0.0512 0.1576 x2  7 Dy 3.56-3.60, 5 Sm 3.56-3.60
Th 0.2139 0.5254 0.5765 x2  8 Dy 3.49-3.57, 2 Sm 3.52-3.54, 2 Th 3.52-3.57

Summary:
DFT total energy ... -4.906 eV/atom
Calculated formation energy ... 24 meV/atom
Energy relative to the lowest polymorph listed for this composition ... 0.00 eV per formula unit



CsCuPS4 | PBE-GGA | optimized geometry

Cell lengths 6.0345, 7.4083, 9.7184 Å; angles 90.00, 105.51, 90.00 degrees
Closest atoms and distances in Å follow each position.
Space group P2_1/m (No. 11)
Symmetry-distinct sites (fractional):
Cs 0.2284 0.2500 0.3654 x2  7 S 3.57-3.95
Cu 0.3964 0.7500 0.1471 x2  3 S 2.15-2.26
P 0.0963 0.2500 0.7663 x2  4 S 2.00-2.09
S 0.0307 0.7500 0.0535 x2  1 P 2.09, 1 Cu 2.15
S 0.1593 0.7500 0.4136 x2  1 P 2.00
S 0.3259 0.0379 0.7876 x4  1 P 2.07, 1 Cu 2.26

Summary:
DFT total energy ... -4.324 eV/atom
Energy relative to the elements, uncorrected ... -3.4 eV per formula unit



PaNiSe | PBE-GGA | optimized geometry

Cell lengths 10.6831, 3.8098, 7.4459 Å; angles 90.00, 130.54, 90.00 degrees
Closest atoms and distances in Å follow each position.
Space group C2/m (No. 12)
Symmetry-distinct sites (fractional):
Pa 0.0342 0.0000 0.2820 x4  3 Ni 2.65-2.95
Ni 0.1436 0.5000 0.6007 x4  1 Ni 2.38, 2 Se 2.40, 2 Pa 2.65
Se 0.1954 0.5000 0.1598 x4  2 Ni 2.40

Summary:
DFT total energy ... -7.024 eV/atom
Energy relative to the elements, uncorrected ... -2.3 eV per formula unit
Energy relative to the lowest polymorph listed for this composition ... 0.00 eV per formula unit